1.
TbSmEr4Tm2: relaxed, PBE.

Cell lengths 9.436, 9.436, 11.667 Å; angles 128.19, 128.19, 88.90 degrees
Positions (direct):
Tm  0.500  0.000  0.000
Tm  0.500  0.000  0.500
Tm  0.500  0.500  0.000
Tm  0.000  0.000  0.500
Er  0.746  0.251  0.999
Er  0.745  0.751  0.000
Er  0.749  0.755  0.500
Er  0.251  0.245  0.500
Er  0.255  0.249  0.000
Er  0.751  0.246  0.499
Er  0.254  0.749  0.001
Er  0.249  0.754  0.501
Tb  0.000  0.000  0.000
Tb  0.500  0.500  0.500
Sm  0.000  0.500  0.000
Sm  0.000  0.500  0.500

space group: C2/c (15)
ΔE_f: 0.450 eV/atom

***

2.
Tb2SmEr2Tm2: relaxed, PBE.

Cell lengths 3.479, 9.138, 8.278 Å; angles 118.56, 90.00, 100.98 degrees
Positions (direct):
Sm  0.000  0.000  0.500
Tb  0.351  0.702  0.091
Tb  0.649  0.298  0.909
Tm  0.571  0.143  0.233
Tm  0.429  0.857  0.767
Er  0.211  0.421  0.622
Er  0.789  0.579  0.378

space group: C2/m (12)
ΔE_f: 0.151 eV/atom

***

3.
Tb2Sm4ErTm2: relaxed, PBE.

Cell lengths 3.565, 9.442, 8.751 Å; angles 89.96, 90.00, 100.88 degrees
Positions (direct):
Tm  0.333  0.667  0.000
Tm  0.667  0.333  0.000
Tb  0.889  0.778  0.329
Tb  0.111  0.222  0.671
Er  0.000  0.000  0.000
Sm  0.223  0.445  0.330
Sm  0.556  0.111  0.331
Sm  0.777  0.555  0.670
Sm  0.444  0.889  0.669

space group: C2/m (12)
ΔE_f: 0.019 eV/atom

***

4.
Tb6SmEr2Tm3: relaxed, PBE.

Cell lengths 6.126, 6.126, 11.711 Å; angles 94.99, 94.99, 119.95 degrees
Positions (direct):
Sm  0.000  0.000  0.000
Tb  0.751  0.751  0.252
Tb  0.085  0.418  0.252
Tb  0.915  0.582  0.748
Tb  0.418  0.085  0.252
Tb  0.249  0.249  0.748
Tb  0.582  0.915  0.748
Tm  0.500  0.500  0.500
Tm  0.167  0.833  0.500
Tm  0.833  0.167  0.500
Er  0.667  0.333  0.000
Er  0.333  0.667  0.000

space group: C2/m (12)
ΔE_f: 0.018 eV/atom

***

5.
TbSm6Er2Tm: relaxed, PBE.

Cell lengths 9.557, 8.856, 8.856 Å; angles 117.63, 93.74, 93.74 degrees
Positions (direct):
Sm  0.882  0.292  0.509
Sm  0.186  0.564  0.011
Sm  0.554  0.759  0.119
Sm  0.118  0.708  0.491
Sm  0.814  0.436  0.989
Sm  0.314  0.989  0.436
Sm  0.054  0.119  0.759
Sm  0.382  0.509  0.292
Sm  0.946  0.881  0.241
Sm  0.446  0.241  0.881
Sm  0.686  0.011  0.564
Sm  0.618  0.491  0.708
Tm  0.250  0.411  0.589
Tm  0.750  0.589  0.411
Tb  0.250  0.973  0.027
Tb  0.750  0.027  0.973
Er  0.546  0.201  0.301
Er  0.954  0.699  0.799
Er  0.454  0.799  0.699
Er  0.046  0.301  0.201

space group: C2/c (15)
ΔE_f: 0.119 eV/atom

***

6.
TbSmErTm3: relaxed, PBE.

Cell lengths 4.985, 7.885, 9.972 Å; angles 90.00, 90.00, 108.43 degrees
Positions (direct):
Tm  0.332  0.665  0.500
Tm  0.168  0.336  0.750
Tm  0.668  0.335  0.500
Tm  0.668  0.335  0.000
Tm  0.832  0.664  0.250
Tm  0.332  0.665  0.000
Er  0.168  0.336  0.250
Er  0.832  0.664  0.750
Tb  0.000  0.000  0.500
Tb  0.000  0.000  0.000
Sm  0.500  0.000  0.750
Sm  0.500  0.000  0.250

space group: Cmcm (63)
ΔE_f: 0.023 eV/atom

***

7.
Tb6Sm2ErTm: relaxed, PBE.

Cell lengths 9.632, 8.778, 8.778 Å; angles 118.13, 94.34, 94.34 degrees
Positions (direct):
Sm  0.957  0.700  0.804
Sm  0.543  0.196  0.300
Sm  0.457  0.804  0.700
Sm  0.043  0.300  0.196
Tm  0.250  0.408  0.592
Tm  0.750  0.592  0.408
Tb  0.687  0.019  0.574
Tb  0.056  0.125  0.750
Tb  0.444  0.250  0.875
Tb  0.380  0.502  0.291
Tb  0.620  0.498  0.709
Tb  0.813  0.426  0.981
Tb  0.187  0.574  0.019
Tb  0.880  0.291  0.502
Tb  0.944  0.875  0.250
Tb  0.556  0.750  0.125
Tb  0.120  0.709  0.498
Tb  0.313  0.981  0.426
Er  0.750  0.020  0.980
Er  0.250  0.980  0.020

space group: C2/c (15)
ΔE_f: 0.116 eV/atom

***

8.
Tb2SmErTm: relaxed, PBE.

Cell lengths 7.190, 8.356, 7.073 Å; angles 126.21, 90.00, 90.00 degrees
Positions (direct):
Tb  0.000  0.308  0.000
Tb  0.000  0.692  0.000
Tb  0.500  0.692  0.000
Tb  0.500  0.308  0.000
Sm  0.750  0.273  0.545
Sm  0.250  0.727  0.455
Er  0.250  0.276  0.551
Er  0.750  0.724  0.449
Tm  0.750  0.001  0.002
Tm  0.250  0.999  0.998

space group: Cmcm (63)
ΔE_f: 0.394 eV/atom

***

Let's list V in order: 519.1 225.7 289.2 375.0 658.8 371.9 647.3 342.9 Å³ per cell.